<i>
Computed, not measured: a relaxed Re4Os3 crystal at the GGA-PBE level of DFT.

Cell and atoms, written as POSCAR:
```
Re4Os3
1.0
6.819 -2.162 -0.002
6.819 2.162 -0.002
6.135 0.000 3.679
Re Os
4 3
Cartesian
17.833 0.000 3.314
12.515 0.000 2.326
7.257 0.000 1.349
1.939 0.000 0.360
15.163 0.000 2.818
9.886 0.000 1.837
4.609 0.000 0.857
```

Its space group is No. 166.

<ii>
Computed, not measured: a relaxed Re4Os3 crystal at the GGA-PBE level of DFT.

Cell and atoms, written as POSCAR:
```
Re4Os3
1.0
2.185 -8.635 0.000
2.185 8.635 0.000
0.000 0.000 2.761
Re Os
4 3
Cartesian
2.185 -6.172 0.000
2.185 -3.718 0.000
2.185 6.335 0.000
2.185 -1.345 1.381
2.185 -8.490 1.381
2.185 1.043 0.000
2.185 3.712 1.381
```

Its space group is No. 38.

<iii>
Computed, not measured: a relaxed Re4Os3 crystal at the GGA-PBE level of DFT.

Cell and atoms, written as POSCAR:
```
Re4Os3
1.0
1.944 4.357 0.001
-1.944 4.357 0.001
0.000 0.867 6.080
Re Os
4 3
Cartesian
0.000 5.239 1.743
0.000 2.628 0.871
0.000 6.954 5.212
0.000 4.343 4.339
0.000 1.735 3.482
0.000 7.847 2.601
0.000 0.000 0.000
```

Its space group is No. 12.

Quick one: most stable of them? <iii>

<i>
Computed, not measured: a relaxed ReOs2 crystal at the GGA-PBE level of DFT.

Cell and atoms, written as POSCAR:
```
ReOs2
1.0
2.708 0.000 0.000
0.000 4.136 0.000
0.000 0.000 17.210
Re Os
4 8
Cartesian
0.000 1.034 10.483
0.000 3.102 6.728
1.354 1.034 15.333
1.354 3.102 1.878
0.000 1.034 0.663
0.000 1.034 3.219
0.000 3.102 13.991
0.000 3.102 16.548
1.354 1.034 5.386
1.354 1.034 7.943
1.354 3.102 9.268
1.354 3.102 11.824
```

Its space group is No. 74.

<ii>
Computed, not measured: a relaxed ReOs2 crystal at the GGA-PBE level of DFT.

Cell and atoms, written as POSCAR:
```
ReOs2
1.0
6.021 0.000 0.000
0.000 6.021 0.000
0.000 0.000 6.021
Re Os
4 8
Cartesian
0.000 0.000 0.000
0.000 3.011 3.011
3.011 0.000 3.011
3.011 3.011 0.000
0.685 3.696 5.336
0.685 5.336 2.325
2.325 0.685 5.336
2.325 2.325 2.325
3.696 3.696 3.696
3.696 5.336 0.685
5.336 0.685 3.696
5.336 2.325 0.685
```

Its space group is No. 205.

<iii>
Computed, not measured: a relaxed ReOs2 crystal at the GGA-PBE level of DFT.

Cell and atoms, written as POSCAR:
```
ReOs2
1.0
6.136 0.002 0.000
4.912 3.676 0.000
-5.524 -1.839 1.936
Os Re
2 1
Cartesian
0.002 0.001 0.000
7.363 2.452 0.000
3.683 1.226 0.000
```

Its space group is No. 139.

Quick one: most stable of them? <iii>

<i>
Computed, not measured: a relaxed ReOs2 crystal at the GGA-PBE level of DFT.

Cell and atoms, written as POSCAR:
```
ReOs2
1.0
-3.266 -0.965 3.843
-0.431 -4.764 1.867
5.849 1.574 5.366
Re Os
4 8
Cartesian
-1.954 -3.682 4.276
-0.051 -3.170 6.021
2.203 -0.985 5.055
4.106 -0.474 6.801
0.000 0.000 0.000
2.925 0.787 2.683
1.541 -1.280 7.849
2.891 -3.089 6.908
0.817 -0.607 2.339
1.335 -3.549 8.738
-0.738 -1.067 4.169
0.611 -2.876 3.228
```

Its space group is No. 194.

<ii>
Computed, not measured: a relaxed ReOs2 crystal at the GGA-PBE level of DFT.

Cell and atoms, written as POSCAR:
```
ReOs2
1.0
2.168 -3.756 0.000
2.168 3.756 0.000
0.000 0.000 2.730
Re Os
1 2
Cartesian
0.000 0.000 1.365
2.168 -1.252 0.000
2.168 1.252 0.000
```

Its space group is No. 191.

Quick one: most stable of them? <ii>

<i>
Computed, not measured: a relaxed ReOsRh3 crystal at the GGA-PBE level of DFT.

Cell and atoms, written as POSCAR:
```
ReOsRh3
1.0
-3.689 -2.117 1.913
1.520 -4.104 -1.611
2.414 -0.651 3.936
Re Os Rh
1 1 3
Cartesian
0.123 -3.436 2.119
0.000 0.000 0.000
0.760 -2.052 -0.806
1.207 -0.325 1.968
-1.844 -1.058 0.956
```

Its space group is No. 221.

<ii>
Computed, not measured: a relaxed ReOsRh3 crystal at the GGA-PBE level of DFT.

Cell and atoms, written as POSCAR:
```
ReOsRh3
1.0
2.707 0.000 0.000
-1.354 6.723 1.650
0.000 0.560 8.423
Re Os Rh
2 2 6
Cartesian
0.000 1.817 8.316
1.354 5.465 1.757
0.000 5.628 5.832
1.354 1.654 4.241
1.354 7.009 7.679
0.000 0.273 2.394
1.354 2.588 1.727
0.000 4.694 8.346
1.354 4.276 3.993
0.000 3.006 6.080
```

Its space group is No. 12.

<iii>
Computed, not measured: a relaxed ReOsRh3 crystal at the GGA-PBE level of DFT.

Cell and atoms, written as POSCAR:
```
ReOsRh3
1.0
-0.114 3.843 2.591
-4.577 -0.502 0.543
0.731 -2.544 3.806
Re Os Rh
1 1 3
Cartesian
0.000 0.000 0.000
-1.980 0.399 3.470
-2.288 -0.251 0.272
0.365 -1.272 1.903
-0.057 1.922 1.295
```

Its space group is No. 221.

Quick one: most stable of them? <ii>

<i>
Computed, not measured: a relaxed ReOs3Rh crystal at the GGA-PBE level of DFT.

Cell and atoms, written as POSCAR:
```
ReOs3Rh
1.0
-2.091 -3.703 1.154
3.209 -2.867 -3.386
5.095 0.990 3.989
Re Os Rh
2 6 2
Cartesian
4.320 -0.428 2.242
1.892 -5.152 -0.486
-0.007 -1.048 0.833
4.649 -3.130 2.580
5.950 -1.868 0.578
0.262 -3.713 1.178
6.219 -4.533 0.923
1.563 -2.451 -0.824
2.296 -2.073 1.717
3.917 -3.508 0.040
```

Its space group is No. 63.

<ii>
Computed, not measured: a relaxed ReOs3Rh crystal at the GGA-PBE level of DFT.

Cell and atoms, written as POSCAR:
```
ReOs3Rh
1.0
4.570 0.000 0.000
0.000 4.570 0.000
0.000 0.000 4.570
Re Os Rh
1 3 1
Cartesian
2.285 2.285 2.285
0.000 2.285 0.000
0.000 0.000 2.285
2.285 0.000 0.000
0.000 0.000 0.000
```

Its space group is No. 221.

<iii>
Computed, not measured: a relaxed ReOs3Rh crystal at the GGA-PBE level of DFT.

Cell and atoms, written as POSCAR:
```
ReOs3Rh
1.0
4.667 0.000 0.000
0.000 4.667 0.000
0.000 0.000 4.667
Re Os Rh
1 3 1
Cartesian
0.000 0.000 0.000
0.000 2.333 0.000
0.000 0.000 2.333
2.333 0.000 0.000
2.333 2.333 2.333
```

Its space group is No. 221.

Quick one: most stable of them? <i>

<i>
Computed, not measured: a relaxed Re3OsRh crystal at the GGA-PBE level of DFT.

Cell and atoms, written as POSCAR:
```
Re3OsRh
1.0
4.656 0.000 0.000
0.000 4.656 0.000
0.000 0.000 4.656
Re Os Rh
3 1 1
Cartesian
0.000 2.328 0.000
0.000 0.000 2.328
2.328 0.000 0.000
0.000 0.000 0.000
2.328 2.328 2.328
```

Its space group is No. 221.

<ii>
Computed, not measured: a relaxed Re3OsRh crystal at the GGA-PBE level of DFT.

Cell and atoms, written as POSCAR:
```
Re3OsRh
1.0
4.284 0.000 -1.081
0.000 5.501 0.000
-0.622 0.000 6.579
Re Os Rh
6 2 2
Cartesian
1.260 0.005 0.477
2.402 2.755 5.021
0.043 4.125 4.692
3.619 1.375 0.805
2.402 5.496 5.021
1.260 2.745 0.477
0.065 1.375 4.781
3.597 4.126 0.716
1.836 1.375 2.769
1.826 4.125 2.728
```

Its space group is No. 63.

Quick one: most stable of them? <ii>

<i>
Computed, not measured: a relaxed ReOs4Rh crystal at the GGA-PBE level of DFT.

Cell and atoms, written as POSCAR:
```
ReOs4Rh
1.0
4.886 1.217 0.506
1.652 4.912 1.853
0.752 -0.154 7.911
Re Os Rh
2 8 2
Cartesian
3.217 3.977 9.044
4.074 1.998 1.226
4.417 2.394 4.050
4.448 1.397 6.461
1.958 1.214 5.326
2.040 2.042 2.854
2.873 3.581 6.220
5.333 4.761 4.944
2.842 4.578 3.810
5.250 3.933 7.417
2.391 1.526 8.104
4.899 4.448 2.166
```

Its space group is No. 15.

<ii>
Computed, not measured: a relaxed ReOs4Rh crystal at the GGA-PBE level of DFT.

Cell and atoms, written as POSCAR:
```
ReOs4Rh
1.0
-2.521 -2.377 3.716
-0.023 1.937 4.697
-4.255 2.035 1.888
Re Os Rh
1 4 1
Cartesian
-5.099 1.197 7.726
-3.811 -0.595 5.723
-4.682 1.619 4.806
-2.558 1.570 6.215
-2.546 0.598 3.858
0.000 0.000 0.000
```

Its space group is No. 216.

Quick one: most stable of them? <i>

<i>
Computed, not measured: a relaxed ReOsRh4 crystal at the GGA-PBE level of DFT.

Cell and atoms, written as POSCAR:
```
ReOsRh4
1.0
-1.266 -1.619 4.565
-4.680 0.619 1.667
-3.023 -3.959 0.502
Re Os Rh
1 1 4
Cartesian
0.000 0.000 0.000
-6.727 -3.719 5.050
-3.997 -2.669 4.805
-4.874 -3.837 2.777
-5.701 -1.551 3.358
-3.365 -1.860 2.526
```

Its space group is No. 216.

<ii>
Computed, not measured: a relaxed ReOsRh4 crystal at the GGA-PBE level of DFT.

Cell and atoms, written as POSCAR:
```
ReOsRh4
1.0
-5.306 0.535 -1.576
4.654 -5.799 -2.158
-1.468 -2.679 4.035
Re Os Rh
2 2 8
Cartesian
-3.679 -4.191 0.639
1.559 -3.752 -0.338
-2.294 -2.787 2.075
0.174 -5.156 -1.774
-0.979 -4.948 1.119
-1.141 -2.996 -0.818
0.375 -7.012 0.241
-2.496 -0.931 0.060
2.246 -7.304 2.298
-5.093 -1.965 -0.001
2.973 -5.979 0.303
-4.367 -0.640 -1.997
```

Its space group is No. 11.

Quick one: most stable of them? <ii>

<i>
Computed, not measured: a relaxed Re2OsRu crystal at the GGA-PBE level of DFT.

Cell and atoms, written as POSCAR:
```
Re2OsRu
1.0
2.738 0.005 0.000
-0.006 2.738 0.000
0.000 0.000 7.801
Os Re Ru
1 2 1
Cartesian
1.366 1.372 5.883
0.000 0.000 7.727
1.366 1.372 2.022
0.000 0.000 3.869
```

Its space group is No. 99.

<ii>
Computed, not measured: a relaxed Re2OsRu crystal at the GGA-PBE level of DFT.

Cell and atoms, written as POSCAR:
```
Re2OsRu
1.0
9.126 0.002 0.001
8.715 2.708 0.001
8.715 1.324 2.362
Os Re Ru
1 2 1
Cartesian
19.916 3.026 1.774
26.545 4.033 2.364
13.286 2.018 1.183
6.639 1.009 0.591
```

Its space group is No. 166.

<iii>
Computed, not measured: a relaxed Re2OsRu crystal at the GGA-PBE level of DFT.

Cell and atoms, written as POSCAR:
```
Re2OsRu
1.0
4.381 0.000 0.000
2.191 3.794 0.000
2.191 1.265 3.577
Os Re Ru
1 2 1
Cartesian
4.381 2.529 1.789
0.000 0.000 0.000
2.191 1.265 0.894
6.572 3.794 2.683
```

Its space group is No. 216.

<iv>
Computed, not measured: a relaxed Re2OsRu crystal at the GGA-PBE level of DFT.

Cell and atoms, written as POSCAR:
```
Re2OsRu
1.0
4.759 0.005 -0.005
3.969 2.625 -0.005
0.789 0.238 4.667
Os Re Ru
1 2 1
Cartesian
2.379 0.717 1.164
8.719 2.628 -0.006
4.767 1.437 2.325
7.138 2.151 3.493
```

Its space group is No. 12.

Quick one: most stable of them? <iv>